[1]
A relaxed structure of ZrMnW2, computed with PBE-GGA.

a = 2.9188 Å, b = 2.9188 Å, c = 26.9427 Å
α = 90.00°, β = 90.00°, γ = 120.00°
Fractional coordinates of all 12 atoms:
Zr1 0.0000 0.0000 0.0000
Zr2 0.3333 0.6667 0.6667
Zr3 0.6667 0.3333 0.3333
Mn1 0.0000 0.0000 0.5000
Mn2 0.3333 0.6667 0.1667
Mn3 0.6667 0.3333 0.8333
W1 0.0000 0.0000 0.2395
W2 0.0000 0.0000 0.7605
W3 0.3333 0.6667 0.4272
W4 0.3333 0.6667 0.9062
W5 0.6667 0.3333 0.0938
W6 0.6667 0.3333 0.5728

Values from the calculation:
mass density = 12.9 g/cm³
E = -10.4883 eV per atom
formation energy = 1.7 eV per formula unit
energy relative to the lowest polymorph listed for this composition = 352 meV per atom
SG = R-3m, No. 166

***

[2]
A relaxed structure of Mn2CrP, computed with PBE-GGA.

a = 2.5967 Å, b = 3.7260 Å, c = 4.7340 Å
α = 90.00°, β = 105.56°, γ = 90.00°
Fractional coordinates of all 4 atoms:
Mn1 0.1952 0.0000 0.2619
Mn2 0.8048 0.0000 0.7381
Cr1 0.5000 0.5000 0.0000
P1 0.0000 0.5000 0.5000

Values from the calculation:
mass density = 7.3 g/cm³
E = -8.4070 eV per atom
formation energy = -0.3 eV per formula unit
SG = P2/m, No. 10

***

[3]
A relaxed structure of Zr2In3Hg3, computed with PBE-GGA.

a = 4.4076 Å, b = 4.4528 Å, c = 8.9878 Å
α = 90.00°, β = 90.00°, γ = 90.00°
Fractional coordinates of all 8 atoms:
Zr1 0.0000 0.0000 0.2470
Zr2 0.0000 0.0000 0.7530
In1 0.5000 0.0000 0.0000
In2 0.5000 0.5000 0.2546
In3 0.5000 0.5000 0.7454
Hg1 0.0000 0.5000 0.0000
Hg2 0.0000 0.5000 0.5000
Hg3 0.5000 0.0000 0.5000

Values from the calculation:
mass density = 10.6 g/cm³
E = -3.4690 eV per atom
formation energy = -1.5 eV per formula unit
SG = Pmmm, No. 47

***

[4]
A relaxed structure of Er2NpHgO8, computed with PBE-GGA.

a = 5.0265 Å, b = 5.0299 Å, c = 7.1330 Å
α = 86.47°, β = 86.55°, γ = 86.65°
Fractional coordinates of all 12 atoms:
Er1 0.0213 0.0211 0.2418
Er2 0.9787 0.9789 0.7582
Np1 0.5000 0.5000 0.5000
Hg1 0.5000 0.5000 0.0000
O1 0.1916 0.8079 0.0001
O2 0.2058 0.7917 0.5003
O3 0.2946 0.2916 0.6823
O4 0.3251 0.3243 0.2680
O5 0.6749 0.6757 0.7320
O6 0.7054 0.7084 0.3177
O7 0.7942 0.2083 0.4997
O8 0.8084 0.1921 0.9999

Values from the calculation:
mass density = 8.3 g/cm³
formation energy (no corrections) = -29.22 eV/f.u.
E = -7.6047 eV per atom
SG = P-1, No. 2

***

[5]
A relaxed structure of Dy4GaRh, computed with PBE-GGA.

a = 7.9956 Å, b = 7.9956 Å, c = 6.0688 Å
α = 105.76°, β = 105.76°, γ = 112.61°
Fractional coordinates of all 12 atoms:
Dy1 0.0590 0.6965 0.9096
Dy2 0.2252 0.3573 0.6947
Dy3 0.3035 0.9410 0.5904
Dy4 0.3573 0.2252 0.1947
Dy5 0.6427 0.7748 0.8053
Dy6 0.6965 0.0590 0.4096
Dy7 0.7748 0.6427 0.3053
Dy8 0.9410 0.3035 0.0904
Ga1 0.3694 0.6306 0.2500
Ga2 0.6306 0.3694 0.7500
Rh1 0.0000 0.0000 0.2500
Rh2 0.0000 0.0000 0.7500

Values from the calculation:
mass density = 8.7 g/cm³
E = -5.3088 eV per atom
formation energy = -3.1 eV per formula unit
energy relative to the lowest polymorph listed for this composition = 50 meV per atom
SG = C2/c, No. 15

***

[6]
A relaxed structure of TiCo7Ge4, computed with PBE-GGA.

a = 5.9091 Å, b = 5.9091 Å, c = 8.5048 Å
α = 124.69°, β = 124.69°, γ = 41.48°
Fractional coordinates of all 12 atoms:
Ti1 0.0000 0.0000 0.0000
Co1 0.0696 0.0696 0.3292
Co2 0.2182 0.2182 0.8713
Co3 0.3529 0.3529 0.4325
Co4 0.5000 0.5000 0.0000
Co5 0.6471 0.6471 0.5675
Co6 0.7818 0.7818 0.1287
Co7 0.9304 0.9304 0.6708
Ge1 0.2855 0.2855 0.6625
Ge2 0.4164 0.4164 0.2150
Ge3 0.5836 0.5836 0.7850
Ge4 0.7145 0.7145 0.3375

Values from the calculation:
mass density = 8.0 g/cm³
E = -6.3343 eV per atom
formation energy = 0.1 eV per formula unit
SG = C2/m, No. 12

***

[7]
A relaxed structure of ZrZn, computed with PBE-GGA.

a = 9.5959 Å, b = 8.4465 Å, c = 5.5961 Å
α = 90.00°, β = 90.00°, γ = 90.00°
Fractional coordinates of all 24 atoms:
Zr1 0.1197 0.2500 0.0000
Zr2 0.1197 0.2500 0.5000
Zr3 0.1833 0.6327 0.2500
Zr4 0.1833 0.8673 0.7500
Zr5 0.3732 0.0415 0.2500
Zr6 0.3732 0.4585 0.7500
Zr7 0.6268 0.5415 0.2500
Zr8 0.6268 0.9585 0.7500
Zr9 0.8167 0.1327 0.2500
Zr10 0.8167 0.3673 0.7500
Zr11 0.8803 0.7500 0.0000
Zr12 0.8803 0.7500 0.5000
Zn1 0.0859 0.5516 0.7500
Zn2 0.0859 0.9484 0.2500
Zn3 0.3668 0.1178 0.7500
Zn4 0.3668 0.3822 0.2500
Zn5 0.4252 0.7500 0.0000
Zn6 0.4252 0.7500 0.5000
Zn7 0.5748 0.2500 0.0000
Zn8 0.5748 0.2500 0.5000
Zn9 0.6332 0.6178 0.7500
Zn10 0.6332 0.8822 0.2500
Zn11 0.9141 0.0516 0.7500
Zn12 0.9141 0.4484 0.2500

Values from the calculation:
mass density = 6.9 g/cm³
E = -5.1338 eV per atom
formation energy = -0.4 eV per formula unit
SG = Pbcm, No. 57

***

[8]
A relaxed structure of PrBe4Pt12, computed with PBE-GGA.

a = 7.0246 Å, b = 7.0246 Å, c = 7.0246 Å
α = 109.47°, β = 109.47°, γ = 109.47°
Fractional coordinates of all 17 atoms:
Pr1 0.0000 0.0000 0.0000
Be1 0.0000 0.0000 0.5000
Be2 0.0000 0.5000 0.0000
Be3 0.5000 0.0000 0.0000
Be4 0.5000 0.5000 0.5000
Pt1 0.1645 0.8318 0.3327
Pt2 0.1682 0.3327 0.5008
Pt3 0.1682 0.6673 0.8355
Pt4 0.3327 0.1645 0.8318
Pt5 0.3327 0.5008 0.1682
Pt6 0.4992 0.8318 0.6673
Pt7 0.5008 0.1682 0.3327
Pt8 0.6673 0.4992 0.8318
Pt9 0.6673 0.8355 0.1682
Pt10 0.8318 0.3327 0.1645
Pt11 0.8318 0.6673 0.4992
Pt12 0.8355 0.1682 0.6673

Values from the calculation:
mass density = 15.7 g/cm³
E = -5.6726 eV per atom
formation energy = -4.3 eV per formula unit
SG = Im-3, No. 204

***

[9]
A relaxed structure of Li3HfSe, computed with PBE-GGA.

a = 5.2473 Å, b = 5.2473 Å, c = 5.2473 Å
α = 90.00°, β = 90.00°, γ = 90.00°
Fractional coordinates of all 5 atoms:
Li1 0.0000 0.0000 0.5000
Li2 0.0000 0.5000 0.0000
Li3 0.5000 0.0000 0.0000
Hf1 0.0000 0.0000 0.0000
Se1 0.5000 0.5000 0.5000

Values from the calculation:
mass density = 3.2 g/cm³
formation energy (no corrections) = 5.50 eV/f.u.
E = -2.7356 eV per atom
energy relative to the lowest polymorph listed for this composition = 943 meV per atom
SG = Pm-3m, No. 221

***

[10]
A relaxed structure of TaCu2P, computed with PBE-GGA.

a = 3.6029 Å, b = 3.6029 Å, c = 4.2242 Å
α = 90.00°, β = 90.00°, γ = 90.00°
Fractional coordinates of all 4 atoms:
Ta1 0.0000 0.0000 0.0000
Cu1 0.0000 0.5000 0.5000
Cu2 0.5000 0.0000 0.5000
P1 0.5000 0.5000 0.0000

Values from the calculation:
mass density = 10.3 g/cm³
E = -6.4481 eV per atom
formation energy = -0.3 eV per formula unit
SG = P4/mmm, No. 123

***

[11]
A relaxed structure of CeCo2Sb, computed with PBE-GGA.

a = 4.5553 Å, b = 4.5553 Å, c = 13.2487 Å
α = 90.00°, β = 90.00°, γ = 120.00°
Fractional coordinates of all 12 atoms:
Ce1 0.0000 0.0000 0.0000
Ce2 0.3333 0.6667 0.6667
Ce3 0.6667 0.3333 0.3333
Co1 0.0000 0.0000 0.1659
Co2 0.0000 0.0000 0.8341
Co3 0.3333 0.6667 0.5008
Co4 0.3333 0.6667 0.8326
Co5 0.6667 0.3333 0.1674
Co6 0.6667 0.3333 0.4992
Sb1 0.0000 0.0000 0.5000
Sb2 0.3333 0.6667 0.1667
Sb3 0.6667 0.3333 0.8333

Values from the calculation:
mass density = 7.9 g/cm³
formation energy (no corrections) = -1.65 eV/f.u.
E = -6.4790 eV per atom
SG = R-3m, No. 166

***

[12]
A relaxed structure of Pm2EuRh, computed with PBE-GGA.

a = 3.9610 Å, b = 3.9610 Å, c = 32.1056 Å
α = 90.00°, β = 90.00°, γ = 120.00°
Fractional coordinates of all 12 atoms:
Pm1 0.0000 0.0000 0.1165
Pm2 0.0000 0.0000 0.8835
Pm3 0.3333 0.6667 0.5502
Pm4 0.3333 0.6667 0.7832
Pm5 0.6667 0.3333 0.2168
Pm6 0.6667 0.3333 0.4498
Eu1 0.0000 0.0000 0.0000
Eu2 0.3333 0.6667 0.6667
Eu3 0.6667 0.3333 0.3333
Rh1 0.0000 0.0000 0.5000
Rh2 0.3333 0.6667 0.1667
Rh3 0.6667 0.3333 0.8333

Values from the calculation:
mass density = 6.2 g/cm³
E = -6.9975 eV per atom
formation energy = -0.9 eV per formula unit
energy relative to the lowest polymorph listed for this composition = 95 meV per atom
SG = R-3m, No. 166